Entry 1:
TbHfAl2 | GGA-PBE | relaxed

Summary:
Total magnetic moment: 0.00 Bohr magnetons per cell
VASP energy: -5.76 eV/atom
E_form: -0.95 eV/f.u.
Energy above the most stable polymorph in this dataset: 54 meV per atom

a b c (Å): 4.9235 4.9235 4.9235
angles (deg): 60.00 60.00 60.00
With the nearest neighbours (Å) after each atom.
Sites, in units of the cell vectors:
Hf1 0.5000 0.5000 0.5000  8 Al 3.01
Al1 0.2500 0.2500 0.2500  4 Hf 3.01, 4 Tb 3.01
Al2 0.7500 0.7500 0.7500  4 Tb 3.01, 4 Hf 3.01
Tb1 0.0000 0.0000 0.0000  8 Al 3.01

=====

Entry 2:
TbHf2Al6 | GGA-PBE | relaxed

Summary:
Total magnetic moment: 0.00 Bohr magnetons per cell
VASP energy: -5.47 eV/atom
E_form: -2.25 eV/f.u.
Energy above the most stable polymorph in this dataset: 119 meV per atom

a b c (Å): 4.2413 7.6575 7.6575
angles (deg): 52.38 73.92 73.92
With the nearest neighbours (Å) after each atom.
Sites, in units of the cell vectors:
Al1 0.6910 0.6014 0.0165  4 Al 2.60-2.81, 1 Hf 2.88
Al2 0.6910 0.0165 0.6014  4 Al 2.60-2.81, 1 Hf 2.88
Al3 0.5000 0.6865 0.3135  3 Al 2.52-2.60
Al4 0.3090 0.9835 0.3986  4 Al 2.60-2.81, 1 Hf 2.88
Al5 0.5000 0.3135 0.6865  3 Al 2.52-2.60
Al6 0.3090 0.3986 0.9835  4 Al 2.60-2.81, 1 Hf 2.88
Hf1 0.8837 0.6163 0.6163  10 Al 2.88-3.06, 1 Hf 3.04
Hf2 0.1163 0.3837 0.3837  10 Al 2.88-3.06, 1 Hf 3.04
Tb1 0.0000 0.0000 0.0000  4 Al 3.00

=====

Entry 3:
TbHf3Al8 | GGA-PBE | relaxed

Summary:
Total magnetic moment: 0.00 Bohr magnetons per cell
VASP energy: -5.81 eV/atom
E_form: -5.33 eV/f.u.
Energy above the most stable polymorph in this dataset: 0 meV per atom

a b c (Å): 5.3482 5.3482 9.2881
angles (deg): 73.27 73.27 60.00
With the nearest neighbours (Å) after each atom.
Sites, in units of the cell vectors:
Al1 0.9404 0.4390 0.1816  6 Al 2.65-2.73
Al2 0.4390 0.4390 0.1816  6 Al 2.65-2.73
Al3 0.1870 0.1870 0.4391  6 Al 2.70-2.73
Al4 0.9368 0.9368 0.6922  6 Al 2.64-2.70
Al5 0.4342 0.9368 0.6922  6 Al 2.64-2.70
Al6 0.4390 0.9404 0.1816  6 Al 2.65-2.73
Al7 0.6878 0.6878 0.9366  6 Al 2.64-2.65
Al8 0.9368 0.4342 0.6922  6 Al 2.64-2.70
Hf1 0.4970 0.4970 0.5089  12 Al 3.12-3.26, 1 Hf 3.19, 3 Tb 3.30
Hf2 0.0014 0.0014 0.9957  12 Al 3.07-3.13, 3 Hf 3.27, 1 Tb 3.33
Hf3 0.3757 0.3757 0.8729  12 Al 3.11-3.14, 4 Hf 3.19-3.27
Tb1 0.8749 0.8749 0.3753  12 Al 3.14-3.18, 4 Hf 3.30-3.33

=====

Entry 4:
TbHfAl2 | GGA-PBE | relaxed

Summary:
Total magnetic moment: 0.00 Bohr magnetons per cell
VASP energy: -5.77 eV/atom
E_form: -1.03 eV/f.u.
Energy above the most stable polymorph in this dataset: 35 meV per atom

a b c (Å): 4.1130 4.5229 4.5229
angles (deg): 90.00 90.00 90.00
With the nearest neighbours (Å) after each atom.
Sites, in units of the cell vectors:
Hf1 0.5000 0.5000 0.5000  8 Al 3.06, 4 Tb 3.20
Tb1 0.5000 0.0000 0.0000  8 Al 3.06, 4 Hf 3.20
Al1 0.0000 0.0000 0.5000  4 Hf 3.06, 4 Tb 3.06, 4 Al 3.20
Al2 0.0000 0.5000 0.0000  4 Hf 3.06, 4 Tb 3.06, 4 Al 3.20

=====

Entry 5:
TbHf2Al6 | GGA-PBE | relaxed

Summary:
Total magnetic moment: 0.00 Bohr magnetons per cell
VASP energy: -5.59 eV/atom
E_form: -3.33 eV/f.u.
Energy above the most stable polymorph in this dataset: 0 meV per atom

a b c (Å): 3.1985 7.7962 7.7962
angles (deg): 120.00 90.00 90.00
With the nearest neighbours (Å) after each atom.
Sites, in units of the cell vectors:
Al1 0.5000 0.6625 0.6625  3 Al 2.53-2.63
Al2 0.5000 0.0000 0.3375  3 Al 2.53-2.63
Al3 0.5000 0.3375 0.0000  3 Al 2.53-2.63
Al4 0.5000 0.3375 0.3375  3 Al 2.53-2.63
Al5 0.5000 0.0000 0.6625  3 Al 2.53-2.63
Al6 0.5000 0.6625 0.0000  3 Al 2.53-2.63
Hf1 0.0000 0.6667 0.3333  12 Al 3.04, 2 Hf 3.20
Hf2 0.0000 0.3333 0.6667  12 Al 3.04, 2 Hf 3.20
Tb1 0.0000 0.0000 0.0000  12 Al 3.08, 2 Tb 3.20

=====

Entry 6:
Tb3Hf5Al12 | GGA-PBE | relaxed

Summary:
Total magnetic moment: 0.00 Bohr magnetons per cell
VASP energy: -4.71 eV/atom
E_form: 14.42 eV/f.u.

a b c (Å): 14.1968 14.1968 14.1968
angles (deg): 109.47 109.47 109.47
With the nearest neighbours (Å) after each atom.
Sites, in units of the cell vectors:
Tb1 0.1250 0.2500 0.8750  8 Al 2.91-2.92
Tb2 0.7500 0.3750 0.1250  8 Al 2.91-2.92
Tb3 0.6250 0.2500 0.3750  8 Al 2.91-2.92
Tb4 0.6250 0.3750 0.7500  8 Al 2.91-2.92
Tb5 0.2500 0.6250 0.8750  8 Al 2.91-2.92
Tb6 0.8750 0.7500 0.1250  8 Al 2.91-2.92
Tb7 0.1250 0.8750 0.7500  8 Al 2.91-2.92
Tb8 0.3750 0.7500 0.6250  8 Al 2.91-2.92
Tb9 0.7500 0.8750 0.6250  8 Al 2.91-2.92
Tb10 0.3750 0.6250 0.2500  8 Al 2.91-2.92
Tb11 0.8750 0.1250 0.2500  8 Al 2.91-2.92
Tb12 0.2500 0.1250 0.3750  8 Al 2.91-2.92
Al1 0.3519 0.4238 0.0751  2 Hf 2.73-2.87, 3 Al 2.90-3.04, 2 Tb 2.91-2.92
Al2 0.6481 0.5762 0.9249  2 Hf 2.73-2.87, 3 Al 2.90-3.04, 2 Tb 2.91-2.92
Al3 0.0719 0.6481 0.7232  2 Hf 2.73-2.87, 3 Al 2.90-3.04, 2 Tb 2.91-2.92
Al4 0.9238 0.8486 0.5719  2 Hf 2.73-2.87, 3 Al 2.90-3.04, 2 Tb 2.91-2.92
Al5 0.4249 0.1481 0.5762  2 Hf 2.73-2.87, 3 Al 2.90-3.04, 2 Tb 2.91-2.92
Al6 0.0762 0.9249 0.1481  2 Hf 2.73-2.87, 3 Al 2.90-3.04, 2 Tb 2.91-2.92
Al7 0.4249 0.2768 0.3486  2 Hf 2.73-2.87, 3 Al 2.90-3.04, 2 Tb 2.91-2.92
Al8 0.4281 0.7768 0.8519  2 Hf 2.73-2.87, 3 Al 2.90-3.04, 2 Tb 2.91-2.92
Al9 0.2232 0.5719 0.6481  2 Hf 2.73-2.87, 3 Al 2.90-3.04, 2 Tb 2.91-2.92
Al10 0.4238 0.0719 0.3486  2 Hf 2.73-2.87, 3 Al 2.90-3.04, 2 Tb 2.91-2.92
Al11 0.5751 0.7232 0.6514  2 Hf 2.73-2.87, 3 Al 2.90-3.04, 2 Tb 2.91-2.92
Al12 0.4281 0.6514 0.0762  2 Hf 2.73-2.87, 3 Al 2.90-3.04, 2 Tb 2.91-2.92
Al13 0.6481 0.0719 0.2232  2 Hf 2.73-2.87, 3 Al 2.90-3.04, 2 Tb 2.91-2.92
Al14 0.1514 0.0751 0.7232  2 Hf 2.73-2.87, 3 Al 2.90-3.04, 2 Tb 2.91-2.92
Al15 0.5762 0.9281 0.6514  2 Hf 2.73-2.87, 3 Al 2.90-3.04, 2 Tb 2.91-2.92
Al16 0.7768 0.4281 0.3519  2 Hf 2.73-2.87, 3 Al 2.90-3.04, 2 Tb 2.91-2.92
Al17 0.7232 0.1481 0.0719  2 Hf 2.73-2.87, 3 Al 2.90-3.04, 2 Tb 2.91-2.92
Al18 0.0751 0.9238 0.3519  2 Hf 2.73-2.87, 3 Al 2.90-3.04, 2 Tb 2.91-2.92
Al19 0.8486 0.9249 0.2768  2 Hf 2.73-2.87, 3 Al 2.90-3.04, 2 Tb 2.91-2.92
Al20 0.5751 0.8519 0.4238  2 Hf 2.73-2.87, 3 Al 2.90-3.04, 2 Tb 2.91-2.92
Al21 0.9249 0.8486 0.7768  2 Hf 2.73-2.87, 3 Al 2.90-3.04, 2 Tb 2.91-2.92
Al22 0.7232 0.5751 0.1514  2 Hf 2.73-2.87, 3 Al 2.90-3.04, 2 Tb 2.91-2.92
Al23 0.4238 0.3519 0.5751  2 Hf 2.73-2.87, 3 Al 2.90-3.04, 2 Tb 2.91-2.92
Al24 0.3519 0.9281 0.7768  2 Hf 2.73-2.87, 3 Al 2.90-3.04, 2 Tb 2.91-2.92
Al25 0.5719 0.3486 0.9238  2 Hf 2.73-2.87, 3 Al 2.90-3.04, 2 Tb 2.91-2.92
Al26 0.7768 0.3486 0.9249  2 Hf 2.73-2.87, 3 Al 2.90-3.04, 2 Tb 2.91-2.92
Al27 0.1481 0.7232 0.5719  2 Hf 2.73-2.87, 3 Al 2.90-3.04, 2 Tb 2.91-2.92
Al28 0.6514 0.2232 0.5751  2 Hf 2.73-2.87, 3 Al 2.90-3.04, 2 Tb 2.91-2.92
Al29 0.9249 0.0762 0.6481  2 Hf 2.73-2.87, 3 Al 2.90-3.04, 2 Tb 2.91-2.92
Al30 0.2232 0.6514 0.0751  2 Hf 2.73-2.87, 3 Al 2.90-3.04, 2 Tb 2.91-2.92
Al31 0.2768 0.8519 0.9281  2 Hf 2.73-2.87, 3 Al 2.90-3.04, 2 Tb 2.91-2.92
Al32 0.6514 0.4281 0.5762  2 Hf 2.73-2.87, 3 Al 2.90-3.04, 2 Tb 2.91-2.92
Al33 0.8519 0.5751 0.9238  2 Hf 2.73-2.87, 3 Al 2.90-3.04, 2 Tb 2.91-2.92
Al34 0.1514 0.0762 0.9281  2 Hf 2.73-2.87, 3 Al 2.90-3.04, 2 Tb 2.91-2.92
Al35 0.5762 0.6481 0.4249  2 Hf 2.73-2.87, 3 Al 2.90-3.04, 2 Tb 2.91-2.92
Al36 0.1481 0.4249 0.0762  2 Hf 2.73-2.87, 3 Al 2.90-3.04, 2 Tb 2.91-2.92
Al37 0.0762 0.1514 0.4281  2 Hf 2.73-2.87, 3 Al 2.90-3.04, 2 Tb 2.91-2.92
Al38 0.9238 0.0751 0.8519  2 Hf 2.73-2.87, 3 Al 2.90-3.04, 2 Tb 2.91-2.92
Al39 0.3486 0.5719 0.4238  2 Hf 2.73-2.87, 3 Al 2.90-3.04, 2 Tb 2.91-2.92
Al40 0.0751 0.1514 0.2232  2 Hf 2.73-2.87, 3 Al 2.90-3.04, 2 Tb 2.91-2.92
Al41 0.8519 0.2768 0.4281  2 Hf 2.73-2.87, 3 Al 2.90-3.04, 2 Tb 2.91-2.92
Al42 0.9281 0.5762 0.1514  2 Hf 2.73-2.87, 3 Al 2.90-3.04, 2 Tb 2.91-2.92
Al43 0.5719 0.2232 0.1481  2 Hf 2.73-2.87, 3 Al 2.90-3.04, 2 Tb 2.91-2.92
Al44 0.0719 0.4238 0.8486  2 Hf 2.73-2.87, 3 Al 2.90-3.04, 2 Tb 2.91-2.92
Al45 0.8486 0.9238 0.0719  2 Hf 2.73-2.87, 3 Al 2.90-3.04, 2 Tb 2.91-2.92
Al46 0.2768 0.4249 0.8486  2 Hf 2.73-2.87, 3 Al 2.90-3.04, 2 Tb 2.91-2.92
Al47 0.3486 0.7768 0.4249  2 Hf 2.73-2.87, 3 Al 2.90-3.04, 2 Tb 2.91-2.92
Al48 0.9281 0.3519 0.2768  2 Hf 2.73-2.87, 3 Al 2.90-3.04, 2 Tb 2.91-2.92
Hf1 0.8750 0.6250 0.7500  4 Al 2.87
Hf2 0.0000 0.5000 0.5000  6 Al 2.73
Hf3 0.7500 0.6250 0.3750  4 Al 2.87
Hf4 0.6250 0.8750 0.2500  4 Al 2.87
Hf5 0.0000 0.0000 0.0000  6 Al 2.73
Hf6 0.1250 0.7500 0.3750  4 Al 2.87
Hf7 0.3750 0.2500 0.1250  4 Al 2.87
Hf8 0.2500 0.8750 0.1250  4 Al 2.87
Hf9 0.3750 0.1250 0.7500  4 Al 2.87
Hf10 0.1250 0.3750 0.2500  4 Al 2.87
Hf11 0.8750 0.2500 0.6250  4 Al 2.87
Hf12 0.5000 0.5000 0.0000  6 Al 2.73
Hf13 0.5000 0.0000 0.0000  6 Al 2.73
Hf14 0.5000 0.5000 0.5000  6 Al 2.73
Hf15 0.2500 0.3750 0.6250  4 Al 2.87
Hf16 0.5000 0.0000 0.5000  6 Al 2.73
Hf17 0.0000 0.0000 0.5000  6 Al 2.73
Hf18 0.7500 0.1250 0.8750  4 Al 2.87
Hf19 0.0000 0.5000 0.0000  6 Al 2.73
Hf20 0.6250 0.7500 0.8750  4 Al 2.87

=====

Entry 7:
Tb4HfAl15 | GGA-PBE | relaxed

Summary:
Total magnetic moment: 0.00 Bohr magnetons per cell
VASP energy: -4.63 eV/atom
E_form: -7.91 eV/f.u.

a b c (Å): 12.4975 12.4975 12.4975
angles (deg): 27.98 27.98 27.98
With the nearest neighbours (Å) after each atom.
Sites, in units of the cell vectors:
Al1 0.3649 0.3649 0.8698  8 Al 2.97-3.05, 4 Tb 2.99-3.02
Al2 0.3649 0.8698 0.3649  8 Al 2.97-3.05, 4 Tb 2.99-3.02
Al3 0.5000 0.0000 0.5000  8 Al 2.85-3.02, 2 Tb 2.96, 2 Hf 3.02
Al4 0.4256 0.8834 0.8834  6 Al 2.77-3.00, 1 Hf 2.99, 3 Tb 3.03-3.06
Al5 0.5744 0.1166 0.1166  6 Al 2.77-3.00, 1 Hf 2.99, 3 Tb 3.03-3.06
Al6 0.8834 0.8834 0.4256  6 Al 2.77-3.00, 1 Hf 2.99, 3 Tb 3.03-3.06
Al7 0.0000 0.5000 0.5000  8 Al 2.85-3.02, 2 Tb 2.96, 2 Hf 3.02
Al8 0.1166 0.5744 0.1166  6 Al 2.77-3.00, 1 Hf 2.99, 3 Tb 3.03-3.06
Al9 0.8834 0.4256 0.8834  6 Al 2.77-3.00, 1 Hf 2.99, 3 Tb 3.03-3.06
Al10 0.5000 0.5000 0.0000  8 Al 2.85-3.02, 2 Tb 2.96, 2 Hf 3.02
Al11 0.6351 0.1302 0.6351  8 Al 2.97-3.05, 4 Tb 2.99-3.02
Al12 0.1166 0.1166 0.5744  6 Al 2.77-3.00, 1 Hf 2.99, 3 Tb 3.03-3.06
Al13 0.8698 0.3649 0.3649  8 Al 2.97-3.05, 4 Tb 2.99-3.02
Al14 0.1302 0.6351 0.6351  8 Al 2.97-3.05, 4 Tb 2.99-3.02
Al15 0.6351 0.6351 0.1302  8 Al 2.97-3.05, 4 Tb 2.99-3.02
Tb1 0.6002 0.6002 0.6002  12 Al 2.96-3.03
Tb2 0.3998 0.3998 0.3998  12 Al 2.96-3.03
Tb3 0.8691 0.8691 0.8691  12 Al 3.02-3.06
Tb4 0.1309 0.1309 0.1309  12 Al 3.02-3.06
Hf1 0.0000 0.0000 0.0000  12 Al 2.99-3.02

=====

Entry 8:
TbHfAlZn | GGA-PBE | relaxed

Summary:
Total magnetic moment: 0.00 Bohr magnetons per cell
VASP energy: -5.14 eV/atom
E_form: -0.98 eV/f.u.

a b c (Å): 4.8868 4.8868 4.8868
angles (deg): 60.00 60.00 60.00
With the nearest neighbours (Å) after each atom.
Sites, in units of the cell vectors:
Hf1 0.0000 0.0000 0.0000  4 Zn 2.99, 4 Al 2.99
Al1 0.2500 0.2500 0.2500  4 Hf 2.99, 4 Tb 2.99
Tb1 0.5000 0.5000 0.5000  4 Al 2.99, 4 Zn 2.99
Zn1 0.7500 0.7500 0.7500  4 Hf 2.99, 4 Tb 2.99